UNb2H6 | PBE | relaxed

**Calculated total energy**: -52.800 eV/cell
**N(E_F)**: 0.561 states/eV/atom
**SG**: P-1

abc: 3.1876 5.1006 5.4171
angles: 115.52 96.50 92.14
With the nearest neighbours (Å) after each atom.
Positions (direct):
U (0.0000, 0.0000, 0.0000)  8 H 2.18-2.26
Nb (0.3397, 0.3128, 0.6345)  8 H 1.95-2.09
Nb (0.6603, 0.6872, 0.3655)  8 H 1.95-2.09
H (0.1473, 0.4439, 0.3260)  3 Nb 1.95-2.09, 3 H 2.07-2.17, 1 U 2.18
H (0.2253, 0.9104, 0.5924)  3 Nb 1.98-2.05, 2 H 2.11-2.17
H (0.4769, 0.6930, 0.9977)  2 H 1.99-2.12, 2 Nb 2.03-2.07, 1 U 2.22
H (0.5231, 0.3070, 0.0023)  2 H 1.99-2.12, 2 Nb 2.03-2.07, 1 U 2.22
H (0.7747, 0.0896, 0.4076)  3 Nb 1.98-2.05, 2 H 2.11-2.17
H (0.8527, 0.5561, 0.6740)  3 Nb 1.95-2.09, 3 H 2.07-2.17, 1 U 2.18